No. 1
Sr2PtRh: PBEsol geometry, meta-GGA SCAN.

Cell and atoms, written as CIF:
```
data_Sr2PtRh
_symmetry_space_group_name_H-M 'R -3 m'
_symmetry_Int_Tables_number 166
_symmetry_space_group_name_Hall '-R 3 2"'
_cell_length_a 3.8595
_cell_length_b 3.8595
_cell_length_c 23.9188
_cell_angle_alpha 90.00
_cell_angle_beta 90.00
_cell_angle_gamma 120.00
loop_
_atom_site_label
_atom_site_fract_x
_atom_site_fract_y
_atom_site_fract_z
Sr1 0.0000 0.0000 0.2475
Pt1 0.0000 0.0000 0.5000
Rh1 0.0000 0.0000 0.0000
```

D(E_F) in states/eV/cell: 4.455
Volume in A^3/atom: 25.712
ΔE_f in eV/atom: -0.156

---

No. 2
SrPt2Rh: PBEsol geometry, meta-GGA SCAN.

Cell and atoms, written as CIF:
```
data_SrPt2Rh
_symmetry_space_group_name_H-M 'C 1 2/m 1'
_symmetry_Int_Tables_number 12
_cell_length_a 8.9477
_cell_length_b 2.8605
_cell_length_c 5.8758
_cell_angle_alpha 90.00
_cell_angle_beta 98.20
_cell_angle_gamma 90.00
loop_
_symmetry_equiv_pos_as_xyz
'x,y,z'
'-x,-y,-z'
'-x,y,-z'
'x,-y,z'
'x+1/2,y+1/2,z'
'-x+1/2,-y+1/2,-z'
'-x+1/2,y+1/2,-z'
'x+1/2,-y+1/2,z'
loop_
_atom_site_label
_atom_site_fract_x
_atom_site_fract_y
_atom_site_fract_z
Sr1 0.0000 0.0000 0.0000
Pt1 0.2393 0.0000 0.6883
Rh1 0.0000 0.5000 0.5000
```

D(E_F) in states/eV/cell: 6.784
Volume in A^3/atom: 18.607
ΔE_f in eV/atom: -0.090

---

No. 3
SrPtRh2: PBEsol geometry, meta-GGA SCAN.

Cell and atoms, written as CIF:
```
data_SrPtRh2
_symmetry_space_group_name_H-M 'F m -3 m'
_symmetry_Int_Tables_number 225
_symmetry_space_group_name_Hall '-F 4 2 3'
_cell_length_a 6.5141
_cell_length_b 6.5141
_cell_length_c 6.5141
_cell_angle_alpha 90.00
_cell_angle_beta 90.00
_cell_angle_gamma 90.00
loop_
_atom_site_label
_atom_site_fract_x
_atom_site_fract_y
_atom_site_fract_z
Sr1 0.0000 0.0000 0.0000
Pt1 0.0000 0.0000 0.5000
Rh1 0.2500 0.2500 0.2500
```

D(E_F) in states/eV/cell: 15.840
Volume in A^3/atom: 17.276
ΔE_f in eV/atom: 0.197

---

No. 4
SrZrPtRh2: PBEsol geometry, meta-GGA SCAN.

Cell and atoms, written as CIF:
```
data_SrZrPtRh2
_symmetry_space_group_name_H-M 'P 4/m m m'
_symmetry_Int_Tables_number 123
_symmetry_space_group_name_Hall '-P 4 2'
_cell_length_a 4.6121
_cell_length_b 4.6121
_cell_length_c 5.7103
_cell_angle_alpha 90.00
_cell_angle_beta 90.00
_cell_angle_gamma 90.00
loop_
_atom_site_label
_atom_site_fract_x
_atom_site_fract_y
_atom_site_fract_z
Sr1 0.0000 0.0000 0.0000
Zr1 0.0000 0.0000 0.5000
Pt1 0.5000 0.5000 0.0000
Rh1 0.0000 0.5000 0.5000
```

D(E_F) in states/eV/cell: 2.931
Volume in A^3/atom: 24.293
ΔE_f in eV/atom: 0.949

---

No. 5
TaPt2Rh: PBEsol geometry, meta-GGA SCAN.

Cell and atoms, written as CIF:
```
data_TaPt2Rh
_symmetry_space_group_name_H-M 'P m m 2'
_symmetry_Int_Tables_number 25
_cell_length_a 2.7808
_cell_length_b 3.8867
_cell_length_c 5.5721
_cell_angle_alpha 90.00
_cell_angle_beta 90.00
_cell_angle_gamma 90.00
loop_
_symmetry_equiv_pos_as_xyz
'x,y,z'
'-x,-y,z'
'-x,y,z'
'x,-y,z'
loop_
_atom_site_label
_atom_site_fract_x
_atom_site_fract_y
_atom_site_fract_z
Ta1 0.0000 0.0000 0.0000
Pt1 0.0000 0.0000 0.5120
Pt2 0.5000 0.5000 0.2559
Rh1 0.5000 0.5000 0.7596
```

D(E_F) in states/eV/cell: 2.765
Volume in A^3/atom: 15.056
ΔE_f in eV/atom: -0.591

---

No. 6
TaPt2Rh: PBEsol geometry, meta-GGA SCAN.

Cell and atoms, written as CIF:
```
data_TaPt2Rh
_symmetry_space_group_name_H-M 'C 1 m 1'
_symmetry_Int_Tables_number 8
_cell_length_a 9.2014
_cell_length_b 2.7830
_cell_length_c 4.7922
_cell_angle_alpha 90.00
_cell_angle_beta 100.39
_cell_angle_gamma 90.00
loop_
_symmetry_equiv_pos_as_xyz
'x,y,z'
'x,-y,z'
'x+1/2,y+1/2,z'
'x+1/2,-y+1/2,z'
loop_
_atom_site_label
_atom_site_fract_x
_atom_site_fract_y
_atom_site_fract_z
Ta1 0.0000 0.0000 0.0000
Pt1 0.2508 0.0000 0.7475
Pt2 0.4966 0.0000 0.4933
Rh1 0.2456 0.5000 0.2438
```

D(E_F) in states/eV/cell: 7.538
Volume in A^3/atom: 15.088
ΔE_f in eV/atom: -0.522

---

No. 7
TaPt2Rh: PBEsol geometry, meta-GGA SCAN.

Cell and atoms, written as CIF:
```
data_TaPt2Rh
_symmetry_space_group_name_H-M 'I -4 m 2'
_symmetry_Int_Tables_number 119
_symmetry_space_group_name_Hall 'I -4 -2'
_cell_length_a 3.9142
_cell_length_b 3.9142
_cell_length_c 7.8226
_cell_angle_alpha 90.00
_cell_angle_beta 90.00
_cell_angle_gamma 90.00
loop_
_atom_site_label
_atom_site_fract_x
_atom_site_fract_y
_atom_site_fract_z
Ta1 0.0000 0.0000 0.0000
Pt1 0.0000 0.0000 0.5000
Pt2 0.0000 0.5000 0.7500
Rh1 0.0000 0.5000 0.2500
```

D(E_F) in states/eV/cell: 5.417
Volume in A^3/atom: 14.981
ΔE_f in eV/atom: -0.750

---

No. 8
Ta2PtRh: PBEsol geometry, meta-GGA SCAN.

Cell and atoms, written as CIF:
```
data_Ta2PtRh
_symmetry_space_group_name_H-M 'P m m m'
_symmetry_Int_Tables_number 47
_cell_length_a 2.8096
_cell_length_b 3.9537
_cell_length_c 5.6137
_cell_angle_alpha 90.00
_cell_angle_beta 90.00
_cell_angle_gamma 90.00
loop_
_symmetry_equiv_pos_as_xyz
'x,y,z'
'-x,-y,-z'
'-x,-y,z'
'x,y,-z'
'x,-y,-z'
'-x,y,z'
'-x,y,-z'
'x,-y,z'
loop_
_atom_site_label
_atom_site_fract_x
_atom_site_fract_y
_atom_site_fract_z
Ta1 0.0000 0.0000 0.2460
Pt1 0.5000 0.5000 0.5000
Rh1 0.5000 0.5000 0.0000
```

D(E_F) in states/eV/cell: 2.495
Volume in A^3/atom: 15.589
ΔE_f in eV/atom: -0.699

---

No. 9
Ta2PtRh: PBEsol geometry, meta-GGA SCAN.

Cell and atoms, written as CIF:
```
data_Ta2PtRh
_symmetry_space_group_name_H-M 'P 1 m 1'
_symmetry_Int_Tables_number 6
_cell_length_a 2.7953
_cell_length_b 4.5954
_cell_length_c 4.9072
_cell_angle_alpha 90.00
_cell_angle_beta 93.05
_cell_angle_gamma 90.00
loop_
_symmetry_equiv_pos_as_xyz
'x,y,z'
'x,-y,z'
loop_
_atom_site_label
_atom_site_fract_x
_atom_site_fract_y
_atom_site_fract_z
Ta1 0.0000 0.0000 0.0000
Ta2 0.1259 0.5000 0.6323
Pt1 0.5652 0.5000 0.1422
Rh1 0.5569 0.0000 0.5019
```

D(E_F) in states/eV/cell: 2.573
Volume in A^3/atom: 15.736
ΔE_f in eV/atom: -0.665

---

No. 10
Ta2PtRh: PBEsol geometry, meta-GGA SCAN.

Cell and atoms, written as CIF:
```
data_Ta2PtRh
_symmetry_space_group_name_H-M 'I 4/m m m'
_symmetry_Int_Tables_number 139
_symmetry_space_group_name_Hall '-I 4 2'
_cell_length_a 3.9673
_cell_length_b 3.9673
_cell_length_c 7.9146
_cell_angle_alpha 90.00
_cell_angle_beta 90.00
_cell_angle_gamma 90.00
loop_
_atom_site_label
_atom_site_fract_x
_atom_site_fract_y
_atom_site_fract_z
Ta1 0.0000 0.5000 0.2500
Pt1 0.0000 0.0000 0.0000
Rh1 0.0000 0.0000 0.5000
```

D(E_F) in states/eV/cell: 5.102
Volume in A^3/atom: 15.571
ΔE_f in eV/atom: -0.722

---

No. 11
Ta2PtRh: PBEsol geometry, meta-GGA SCAN.

Cell and atoms, written as CIF:
```
data_Ta2PtRh
_symmetry_space_group_name_H-M 'C m m m'
_symmetry_Int_Tables_number 65
_symmetry_space_group_name_Hall '-C 2 2'
_cell_length_a 5.6070
_cell_length_b 7.9227
_cell_length_c 2.8068
_cell_angle_alpha 90.00
_cell_angle_beta 90.00
_cell_angle_gamma 90.00
loop_
_atom_site_label
_atom_site_fract_x
_atom_site_fract_y
_atom_site_fract_z
Ta1 0.2500 0.2500 0.0000
Pt1 0.0000 0.0000 0.5000
Rh1 0.0000 0.5000 0.5000
```

D(E_F) in states/eV/cell: 4.856
Volume in A^3/atom: 15.586
ΔE_f in eV/atom: -0.699

---

No. 12
Ta2PtRh: PBEsol geometry, meta-GGA SCAN.

Cell and atoms, written as CIF:
```
data_Ta2PtRh
_symmetry_space_group_name_H-M 'P 4/m m m'
_symmetry_Int_Tables_number 123
_symmetry_space_group_name_Hall '-P 4 2'
_cell_length_a 3.9687
_cell_length_b 3.9687
_cell_length_c 3.9548
_cell_angle_alpha 90.00
_cell_angle_beta 90.00
_cell_angle_gamma 90.00
loop_
_atom_site_label
_atom_site_fract_x
_atom_site_fract_y
_atom_site_fract_z
Ta1 0.0000 0.5000 0.0000
Pt1 0.0000 0.0000 0.5000
Rh1 0.5000 0.5000 0.5000
```

D(E_F) in states/eV/cell: 2.608
Volume in A^3/atom: 15.573
ΔE_f in eV/atom: -0.723

---

No. 13
TaPt2Rh: PBEsol geometry, meta-GGA SCAN.

Cell and atoms, written as CIF:
```
data_TaPt2Rh
_symmetry_space_group_name_H-M 'I 4/m m m'
_symmetry_Int_Tables_number 139
_symmetry_space_group_name_Hall '-I 4 2'
_cell_length_a 3.8682
_cell_length_b 3.8682
_cell_length_c 7.9896
_cell_angle_alpha 90.00
_cell_angle_beta 90.00
_cell_angle_gamma 90.00
loop_
_atom_site_label
_atom_site_fract_x
_atom_site_fract_y
_atom_site_fract_z
Ta1 0.0000 0.0000 0.0000
Pt1 0.0000 0.5000 0.2500
Rh1 0.0000 0.0000 0.5000
```

D(E_F) in states/eV/cell: 6.200
Volume in A^3/atom: 14.944
ΔE_f in eV/atom: -0.765

---

No. 14
Ta2PtRh: PBEsol geometry, meta-GGA SCAN.

Cell and atoms, written as CIF:
```
data_Ta2PtRh
_symmetry_space_group_name_H-M 'C 1 2/m 1'
_symmetry_Int_Tables_number 12
_cell_length_a 9.2924
_cell_length_b 2.8282
_cell_length_c 4.8811
_cell_angle_alpha 90.00
_cell_angle_beta 100.18
_cell_angle_gamma 90.00
loop_
_symmetry_equiv_pos_as_xyz
'x,y,z'
'-x,-y,-z'
'-x,y,-z'
'x,-y,z'
'x+1/2,y+1/2,z'
'-x+1/2,-y+1/2,-z'
'-x+1/2,y+1/2,-z'
'x+1/2,-y+1/2,z'
loop_
_atom_site_label
_atom_site_fract_x
_atom_site_fract_y
_atom_site_fract_z
Ta1 0.2502 0.0000 0.2486
Pt1 0.0000 0.0000 0.5000
Rh1 0.0000 0.5000 0.0000
```

D(E_F) in states/eV/cell: 8.785
Volume in A^3/atom: 15.783
ΔE_f in eV/atom: -0.344

---

No. 15
Ta2PtRh: PBEsol geometry, meta-GGA SCAN.

Cell and atoms, written as CIF:
```
data_Ta2PtRh
_symmetry_space_group_name_H-M 'P 4 m m'
_symmetry_Int_Tables_number 99
_cell_length_a 3.2947
_cell_length_b 3.2947
_cell_length_c 5.9119
_cell_angle_alpha 90.00
_cell_angle_beta 90.00
_cell_angle_gamma 90.00
loop_
_symmetry_equiv_pos_as_xyz
'x,y,z'
'-y,x,z'
'-x,-y,z'
'y,-x,z'
'-x,y,z'
'y,x,z'
'x,-y,z'
'-y,-x,z'
loop_
_atom_site_label
_atom_site_fract_x
_atom_site_fract_y
_atom_site_fract_z
Ta1 0.0000 0.0000 0.0000
Ta2 0.5000 0.5000 0.2990
Pt1 0.0000 0.0000 0.5181
Rh1 0.5000 0.5000 0.7914
```

D(E_F) in states/eV/cell: 2.573
Volume in A^3/atom: 16.044
ΔE_f in eV/atom: -0.618